Entry 1:
The following is a DFT calculation (PBE) of a relaxed structure of Pm5NdHo2Er.

a = 5.645 Å, b = 20.308 Å, c = 10.737 Å
α = 90.00°, β = 90.00°, γ = 90.00°
Space group Cmc2_1 (No. 36)
One atom of each set of equivalent atoms:
Pm1 0.000 0.017 0.000 x4
Pm2 0.000 0.281 0.285 x4
Pm3 0.000 0.298 0.682 x4
Pm4 0.000 0.392 0.002 x4
Pm5 0.000 0.480 0.719 x4
Nd1 0.000 0.202 0.987 x4
Ho1 0.000 0.110 0.716 x4
Ho2 0.000 0.116 0.294 x4
Er1 0.000 0.411 0.436 x4

Properties
Density of states at the Fermi level (states/eV/f.u.): 14.1
M_tot (μB per formula unit): 0.0
Calculated volume (Å³/atom): 34.19
Energy relative to the elements (eV per atom): 0.1460

Entry 2:
The following is a DFT calculation (PBE) of a relaxed structure of PrNdHo5Er2.

a = 8.914 Å, b = 8.914 Å, c = 14.773 Å
α = 90.00°, β = 90.00°, γ = 90.00°
Space group I4/mcm (No. 140)
One atom of each set of equivalent atoms:
Pr1 0.000 0.500 0.250 x4
Nd1 0.000 0.000 0.250 x4
Ho1 0.000 0.000 0.000 x4
Ho2 0.202 0.298 0.130 x16
Er1 0.114 0.386 0.500 x8

Properties
Density of states at the Fermi level (states/eV/f.u.): 12.2
M_tot (μB per formula unit): 0.0
Calculated volume (Å³/atom): 32.60
Energy relative to the elements (eV per atom): 0.2836

Entry 3:
The following is a DFT calculation (PBE) of a relaxed structure of Pr6Nd2HoEr.

a = 9.300 Å, b = 15.490 Å, c = 9.888 Å
α = 90.00°, β = 98.58°, γ = 90.00°
Space group C2/c (No. 15)
One atom of each set of equivalent atoms:
Pr1 0.062 0.182 0.446 x8
Pr2 0.103 0.396 0.618 x8
Pr3 0.208 0.220 0.809 x8
Nd1 0.245 0.049 0.043 x8
Ho1 0.000 0.021 0.750 x4
Er1 0.000 0.409 0.250 x4

Properties
Density of states at the Fermi level (states/eV/f.u.): 14.8
M_tot (μB per formula unit): 0.0
Calculated volume (Å³/atom): 35.21
Energy relative to the elements (eV per atom): 0.1131